DFT (PBE) results for a relaxed structure of Ac2Pm2CoAu2.

Output
Calculated density, g cm⁻³: 9.5
Space group: C2/m (12)
Calculated formation energy, eV/atom: -0.441
Energy, eV per atom: -4.92
Total moment, μB/cell: 0.0

a = 4.118 Å, b = 7.260 Å, c = 7.824 Å
α = 68.35°, β = 74.76°, γ = 90.02°
Atoms (fractional coordinates):
Ac (0.206, 0.217, 0.590)
Ac (0.794, 0.783, 0.410)
Pm (0.482, 0.238, 0.037)
Pm (0.518, 0.762, 0.963)
Co (0.000, 0.000, 0.000)
Au (0.118, 0.571, 0.763)
Au (0.882, 0.429, 0.237)

DFT (PBE) results for a relaxed structure of Ac2Pr2CoAu2.

Output
Calculated density, g cm⁻³: 9.2
Space group: C2/m (12)
Calculated formation energy, eV/atom: -0.423
Energy, eV per atom: -4.91
Total moment, μB/cell: 0.0

a = 4.141 Å, b = 7.362 Å, c = 7.853 Å
α = 68.40°, β = 74.74°, γ = 90.02°
Atoms (fractional coordinates):
Ac (0.206, 0.219, 0.590)
Ac (0.794, 0.781, 0.410)
Pr (0.480, 0.238, 0.040)
Pr (0.520, 0.762, 0.960)
Co (0.000, 0.000, 0.000)
Au (0.121, 0.569, 0.757)
Au (0.879, 0.431, 0.243)

DFT (PBE) results for a relaxed structure of AcPrCoAu.

Output
Calculated density, g cm⁻³: 10.1
Space group: F-43m (216)
Calculated formation energy, eV/atom: -0.233
Energy, eV per atom: -5.05
Total moment, μB/cell: 0.5

a = 5.260 Å, b = 5.260 Å, c = 5.260 Å
α = 60.00°, β = 60.00°, γ = 60.00°
Site moments in Bohr magnetons follow the coordinates.
Atoms (fractional coordinates):
Pr (0.500, 0.500, 0.500)  -0.09
Co (0.250, 0.250, 0.250)  0.81
Ac (0.000, 0.000, 0.000)  -0.05
Au (0.750, 0.750, 0.750)  -0.01

DFT (PBE) results for a relaxed structure of Ac6CoPtAu2.

Output
Calculated density, g cm⁻³: 9.2
Space group: R3 (146)
Calculated formation energy, eV/atom: -0.531
Energy, eV per atom: -4.97
Total moment, μB/cell: 0.0

a = 7.792 Å, b = 7.789 Å, c = 8.227 Å
α = 61.72°, β = 61.71°, γ = 60.01°
Atoms (fractional coordinates):
Ac (0.580, 0.210, 0.255)
Ac (0.210, 0.956, 0.254)
Ac (0.956, 0.580, 0.255)
Ac (0.443, 0.696, 0.767)
Ac (0.696, 0.094, 0.767)
Ac (0.093, 0.443, 0.767)
Co (0.324, 0.324, 0.027)
Pt (0.826, 0.826, 0.523)
Au (0.517, 0.517, 0.449)
Au (0.016, 0.016, 0.951)